[1]
This record from Alexandria describes Sr2TlFe after structural relaxation. The functional is PBE.

Unit cell a=6.6209 b=6.6209 c=6.6209 alpha=145.18 beta=130.74 gamma=61.73
Fractional positions:
Sr1 0.0000 0.0000 0.0000
Sr2 0.7045 0.2045 0.5000
Tl1 0.2756 0.7756 0.5000
Fe1 0.4401 0.4401 0.0000

Output
The value obtained for the formation energy is 228.0 meV per atom. As for the density of states at the Fermi level: 4.9 states/eV per cell. As for the total magnetization: 2.643 μB/cell. The value obtained for the total DFT energy (no corrections) is -13.28 eV per cell.

[2]
This record from Alexandria describes BaGe2H2 after structural relaxation. The functional is PBE.

Unit cell a=5.4808 b=5.4808 c=5.4808 alpha=130.09 beta=130.09 gamma=73.26
Fractional positions:
Ba1 0.0000 0.0000 0.0000
Ge1 0.3641 0.3641 0.0000
Ge2 0.6359 0.6359 0.0000
H1 0.2500 0.7500 0.5000
H2 0.7500 0.2500 0.5000

Output
As for the density of states at the Fermi level: 0.6 states/eV per cell. As for the total magnetization: 0.000 μB/cell. The value obtained for the total DFT energy (no corrections) is -16.76 eV per cell.

[3]
This record from Alexandria describes Cs2K2S after structural relaxation. The functional is PBE.

Unit cell a=8.7272 b=8.7272 c=7.4848 alpha=90.00 beta=90.00 gamma=90.00
Fractional positions:
Cs1 0.1937 0.3063 0.0000
Cs2 0.3063 0.8063 0.0000
Cs3 0.6937 0.1937 0.0000
Cs4 0.8063 0.6937 0.0000
K1 0.1862 0.6862 0.5000
K2 0.3138 0.1862 0.5000
K3 0.6862 0.8138 0.5000
K4 0.8138 0.3138 0.5000
S1 0.0000 0.0000 0.5000
S2 0.5000 0.5000 0.5000

Output
As for the density of states at the Fermi level: 5.4 states/eV per cell. As for the total magnetization: 0.000 μB/cell. The calculation puts the raw formation energy at -0.35 eV per atom. The value obtained for the total DFT energy (no corrections) is -19.57 eV per cell.

[4]
This record from Alexandria describes PrTmPa after structural relaxation. The functional is PBE.

Unit cell a=4.6533 b=4.6533 c=8.6162 alpha=90.00 beta=90.00 gamma=90.00
Fractional positions:
Pr1 0.2500 0.2500 0.1821
Pr2 0.7500 0.7500 0.8179
Tm1 0.2500 0.2500 0.7697
Tm2 0.7500 0.7500 0.2303
Pa1 0.2500 0.7500 0.5000
Pa2 0.7500 0.2500 0.5000

Output
The value obtained for the formation energy is 286.6 meV per atom. As for the density of states at the Fermi level: 10.1 states/eV per cell. As for the total magnetization: 0.000 μB/cell. Its energy above the most stable polymorph in this dataset is 0.39 eV/f.u. The value obtained for the total DFT energy (no corrections) is -35.77 eV per cell.

[5]
This record from Alexandria describes MgZnAuSe2 after structural relaxation. The functional is PBE.

Unit cell a=5.2890 b=5.2890 c=4.6960 alpha=90.00 beta=90.00 gamma=90.00
Fractional positions:
Mg1 0.0000 0.0000 0.0000
Zn1 0.5000 0.5000 0.0000
Au1 0.5000 0.5000 0.5000
Se1 0.0000 0.5000 0.5000
Se2 0.5000 0.0000 0.5000

Output
As for the density of states at the Fermi level: 1.8 states/eV per cell. As for the total magnetization: 0.000 μB/cell. The calculation puts the raw formation energy at 0.15 eV per atom. The value obtained for the total DFT energy (no corrections) is -12.34 eV per cell.

[6]
This record from Alexandria describes V6RuPt after structural relaxation. The functional is PBE.

Unit cell a=5.6949 b=5.6949 c=4.4208 alpha=96.47 beta=96.47 gamma=126.66
Fractional positions:
V1 0.0000 0.0000 0.0000
V2 0.1132 0.3561 0.4876
V3 0.5080 0.0045 0.0059
V4 0.6348 0.3652 0.5000
V5 0.6439 0.8868 0.5124
V6 0.9955 0.4920 0.9941
Ru1 0.1338 0.8662 0.5000
Pt1 0.4968 0.5032 0.0000

Output
The value obtained for the formation energy is -152.4 meV per atom. As for the density of states at the Fermi level: 7.6 states/eV per cell. As for the total magnetization: 0.000 μB/cell. The value obtained for the total DFT energy (no corrections) is -71.25 eV per cell.

[7]
This record from Alexandria describes AcHo4Ga4 after structural relaxation. The functional is PBE.

Unit cell a=9.4689 b=9.4689 c=5.8520 alpha=90.00 beta=90.00 gamma=90.00
Fractional positions:
Ac1 0.2500 0.2500 0.2500
Ac2 0.7500 0.7500 0.7500
Ho1 0.0891 0.6489 0.1339
Ho2 0.1489 0.9109 0.6339
Ho3 0.3511 0.5891 0.6339
Ho4 0.4109 0.8511 0.1339
Ho5 0.5891 0.1489 0.8661
Ho6 0.6489 0.4109 0.3661
Ho7 0.8511 0.0891 0.3661
Ho8 0.9109 0.3511 0.8661
Ga1 0.0422 0.5993 0.6349
Ga2 0.0993 0.9578 0.1349
Ga3 0.4007 0.5422 0.1349
Ga4 0.4578 0.9007 0.6349
Ga5 0.5422 0.0993 0.3651
Ga6 0.5993 0.4578 0.8651
Ga7 0.9007 0.0422 0.8651
Ga8 0.9578 0.4007 0.3651

Output
The value obtained for the formation energy is -341.9 meV per atom. As for the density of states at the Fermi level: 15.4 states/eV per cell. As for the total magnetization: 0.000 μB/cell. The value obtained for the total DFT energy (no corrections) is -75.21 eV per cell.

[8]
This record from Alexandria describes HfNi2Pt2 after structural relaxation. The functional is PBE.

Unit cell a=4.3360 b=4.3360 c=10.2550 alpha=90.00 beta=90.00 gamma=120.00
Fractional positions:
Hf1 0.0000 0.0000 0.2500
Hf2 0.0000 0.0000 0.7500
Ni1 0.3333 0.6667 0.1030
Ni2 0.3333 0.6667 0.3970
Ni3 0.6667 0.3333 0.6030
Ni4 0.6667 0.3333 0.8970
Pt1 0.0000 0.0000 0.0000
Pt2 0.0000 0.0000 0.5000
Pt3 0.3333 0.6667 0.7500
Pt4 0.6667 0.3333 0.2500

Output
The value obtained for the formation energy is -92.0 meV per atom. As for the density of states at the Fermi level: 7.3 states/eV per cell. As for the total magnetization: 0.000 μB/cell. Its energy above the most stable polymorph in this dataset is 2.06 eV/f.u. The value obtained for the total DFT energy (no corrections) is -68.12 eV per cell.

[9]
This record from Alexandria describes Pr2YTmO6 after structural relaxation. The functional is PBE.

Unit cell a=6.1348 b=6.1348 c=6.1348 alpha=58.17 beta=58.17 gamma=58.17
Fractional positions:
Pr1 0.0000 0.0000 0.0000
Pr2 0.4994 0.4994 0.4994
Y1 0.2228 0.2228 0.2228
Tm1 0.7214 0.7214 0.7214
O1 0.0857 0.4281 0.8457
O2 0.3497 0.9221 0.5914
O3 0.4281 0.8457 0.0857
O4 0.5914 0.3497 0.9221
O5 0.8457 0.0857 0.4281
O6 0.9221 0.5914 0.3497

Output
As for the density of states at the Fermi level: 0.0 states/eV per cell. As for the total magnetization: 0.000 μB/cell. The calculation puts the raw formation energy at -3.42 eV per atom. The value obtained for the total DFT energy (no corrections) is -84.48 eV per cell.

[10]
This record from Alexandria describes MgBe2B after structural relaxation. The functional is PBE.

Unit cell a=3.8547 b=3.8547 c=3.8547 alpha=60.00 beta=60.00 gamma=60.00
Fractional positions:
Mg1 0.0000 0.0000 0.0000
Be1 0.2500 0.2500 0.2500
Be2 0.5000 0.5000 0.5000
B1 0.7500 0.7500 0.7500

Output
The value obtained for the formation energy is 673.0 meV per atom. As for the density of states at the Fermi level: 0.5 states/eV per cell. As for the total magnetization: 0.000 μB/cell. Its energy above the most stable polymorph in this dataset is 2.62 eV/f.u. The value obtained for the total DFT energy (no corrections) is -13.03 eV per cell.

[11]
This record from Alexandria describes CdAg2Te after structural relaxation. The functional is PBE.

Unit cell a=4.4383 b=4.4383 c=4.4738 alpha=90.00 beta=90.00 gamma=90.00
Fractional positions:
Cd1 0.0000 0.0000 0.0000
Ag1 0.0000 0.5000 0.5000
Ag2 0.5000 0.0000 0.5000
Te1 0.5000 0.5000 0.0000

Output
As for the density of states at the Fermi level: 1.5 states/eV per cell. As for the total magnetization: 0.000 μB/cell. The calculation puts the raw formation energy at 0.06 eV per atom. Its energy above the most stable polymorph in this dataset is 0.24 eV/f.u. The value obtained for the total DFT energy (no corrections) is -9.53 eV per cell.

[12]
This record from Alexandria describes TiV2Rh after structural relaxation. The functional is PBE.

Unit cell a=3.0249 b=3.0249 c=6.2372 alpha=90.00 beta=90.00 gamma=90.00
Fractional positions:
Ti1 0.0000 0.0000 0.0000
V1 0.5000 0.5000 0.2508
V2 0.5000 0.5000 0.7492
Rh1 0.0000 0.0000 0.5000

Output
The value obtained for the formation energy is -222.7 meV per atom. As for the density of states at the Fermi level: 3.1 states/eV per cell. As for the total magnetization: 0.000 μB/cell. The value obtained for the total DFT energy (no corrections) is -34.37 eV per cell.

[13]
This record from Alexandria describes TbTmGaPt after structural relaxation. The functional is PBE.

Unit cell a=4.4443 b=5.7422 c=5.7422 alpha=38.12 beta=90.00 gamma=90.00
Fractional positions:
Tb1 0.0000 0.0000 0.0000
Tm1 0.5000 0.7164 0.7164
Ga1 0.0000 0.2782 0.2782
Pt1 0.5000 0.4331 0.4331

Output
The value obtained for the formation energy is -945.0 meV per atom. As for the density of states at the Fermi level: 2.7 states/eV per cell. As for the total magnetization: 0.000 μB/cell. Its energy above the most stable polymorph in this dataset is 0.00 eV/f.u. The value obtained for the total DFT energy (no corrections) is -21.95 eV per cell.

[14]
This record from Alexandria describes AsRuSe2O after structural relaxation. The functional is PBE.

Unit cell a=4.7521 b=4.7521 c=4.8207 alpha=90.00 beta=90.00 gamma=90.00
Fractional positions:
As1 0.0000 0.0000 0.0000
Ru1 0.0000 0.0000 0.5000
Se1 0.0000 0.5000 0.5000
Se2 0.5000 0.0000 0.5000
O1 0.5000 0.5000 0.0000

Output
As for the density of states at the Fermi level: 8.8 states/eV per cell. As for the total magnetization: 0.000 μB/cell. The calculation puts the raw formation energy at 0.92 eV per atom. Its energy above the most stable polymorph in this dataset is 1.40 eV/f.u. The value obtained for the total DFT energy (no corrections) is -21.24 eV per cell.

[15]
This record from Alexandria describes CaTlZn2 after structural relaxation. The functional is PBE.

Unit cell a=10.5057 b=10.5057 c=10.5057 alpha=154.59 beta=154.59 gamma=36.25
Fractional positions:
Ca1 0.0000 0.0000 0.0000
Ca2 0.7500 0.2500 0.5000
Tl1 0.2500 0.7500 0.5000
Tl2 0.5000 0.5000 0.0000
Zn1 0.2272 0.6250 0.1022
Zn2 0.3750 0.4772 0.6022
Zn3 0.5228 0.1250 0.8978
Zn4 0.8750 0.7728 0.3978

Output
The value obtained for the formation energy is 50.7 meV per atom. As for the density of states at the Fermi level: 4.6 states/eV per cell. As for the total magnetization: 0.000 μB/cell. The value obtained for the total DFT energy (no corrections) is -13.43 eV per cell.

[16]
This record from Alexandria describes Na2HPtPb after structural relaxation. The functional is PBE.

Unit cell a=4.8904 b=4.8904 c=3.7545 alpha=90.00 beta=90.00 gamma=90.00
Fractional positions:
Na1 0.0000 0.5000 0.0000
Na2 0.5000 0.0000 0.0000
H1 0.0000 0.0000 0.0000
Pt1 0.0000 0.0000 0.5000
Pb1 0.5000 0.5000 0.5000

Output
As for the density of states at the Fermi level: 1.8 states/eV per cell. As for the total magnetization: 0.000 μB/cell. Its energy above the most stable polymorph in this dataset is 0.00 eV/f.u. The value obtained for the total DFT energy (no corrections) is -16.39 eV per cell.

[17]
This record from Alexandria describes Be2ZnCu2 after structural relaxation. The functional is PBE.

Unit cell a=6.4371 b=6.4371 c=2.6672 alpha=90.00 beta=90.00 gamma=90.00
Fractional positions:
Be1 0.1541 0.3459 0.0000
Be2 0.3459 0.8459 0.0000
Be3 0.6541 0.1541 0.0000
Be4 0.8459 0.6541 0.0000
Zn1 0.0000 0.0000 0.5000
Zn2 0.5000 0.5000 0.5000
Cu1 0.1396 0.6396 0.5000
Cu2 0.3604 0.1396 0.5000
Cu3 0.6396 0.8604 0.5000
Cu4 0.8604 0.3604 0.5000

Output
The value obtained for the formation energy is 8.6 meV per atom. As for the density of states at the Fermi level: 1.3 states/eV per cell. As for the total magnetization: 0.000 μB/cell. Its energy above the most stable polymorph in this dataset is 0.33 eV/f.u. The value obtained for the total DFT energy (no corrections) is -33.75 eV per cell.

[18]
This record from Alexandria describes CdAu6 after structural relaxation. The functional is PBE.

Unit cell a=4.1098 b=4.1098 c=8.2135 alpha=90.00 beta=90.00 gamma=90.00
Fractional positions:
Cd1 0.0000 0.0000 0.0000
Au1 0.0000 0.0000 0.5000
Au2 0.0000 0.5000 0.2631
Au3 0.0000 0.5000 0.7369
Au4 0.5000 0.0000 0.2631
Au5 0.5000 0.0000 0.7369
Au6 0.5000 0.5000 0.0000

Output
The value obtained for the formation energy is -9.5 meV per atom. As for the density of states at the Fermi level: 1.2 states/eV per cell. As for the total magnetization: 0.000 μB/cell. Its energy above the most stable polymorph in this dataset is 0.13 eV/f.u. The value obtained for the total DFT energy (no corrections) is -20.65 eV per cell.

[19]
This record from Alexandria describes CeNpOsRh after structural relaxation. The functional is PBE.

Unit cell a=4.8498 b=4.8498 c=4.8498 alpha=60.00 beta=60.00 gamma=60.00
Fractional positions:
Ce1 0.0000 0.0000 0.0000
Np1 0.5000 0.5000 0.5000
Os1 0.7500 0.7500 0.7500
Rh1 0.2500 0.2500 0.2500

Output
The value obtained for the formation energy is -176.5 meV per atom. As for the density of states at the Fermi level: 7.7 states/eV per cell. As for the total magnetization: 3.604 μB/cell. The value obtained for the total DFT energy (no corrections) is -38.16 eV per cell.

[20]
This record from Alexandria describes MgBi2Pb after structural relaxation. The functional is PBE.

Unit cell a=4.0507 b=4.0507 c=7.2216 alpha=90.00 beta=90.00 gamma=90.00
Fractional positions:
Mg1 0.0000 0.0000 0.0000
Bi1 0.5000 0.5000 0.2259
Bi2 0.5000 0.5000 0.7741
Pb1 0.0000 0.0000 0.5000

Output
The value obtained for the formation energy is -8.9 meV per atom. As for the density of states at the Fermi level: 2.8 states/eV per cell. As for the total magnetization: 0.000 μB/cell. The value obtained for the total DFT energy (no corrections) is -13.10 eV per cell.